Compound: Rb3InO3
Source: the Alexandria database
Functional: SCAN
Structure: single point on PBEsol structure

```
28
Lattice="-4.7624 -4.8319 1.1214 1.7104 -0.1095 6.7921 -8.7138 9.1621 2.4721" Properties=species:S:1:pos:R:3 pbc="T T T"
Rb -1.9016 -1.3457 5.4203
Rb -7.2108 7.8659 4.8022
Rb -7.7267 5.3656 7.8944
Rb -9.1327 1.7663 7.4982
Rb -7.7320 3.0554 2.9442
Rb -6.6292 -1.0754 7.5909
Rb -5.1366 5.2961 2.7947
Rb -4.0338 1.1653 7.4414
Rb -2.6331 2.4544 2.8875
Rb -4.0391 -1.1448 2.4912
Rb -4.5550 -3.6452 5.5834
Rb -9.8642 5.5664 4.9653
In -10.5411 4.0930 9.4622
In -5.8484 3.5155 5.8198
In -5.9174 0.7052 4.5659
In -1.2246 0.1277 0.9234
O -10.4893 4.8702 7.5650
O -7.6371 7.9057 8.5971
O -6.9056 5.1361 5.1431
O -10.4784 3.3084 3.1781
O -6.8227 1.6608 6.2305
O -4.6656 3.9911 7.4262
O -7.1002 0.2296 2.9594
O -4.9431 2.5599 4.1551
O -1.2874 0.9123 7.2075
O -4.8602 -0.9154 5.2426
O -4.1287 -3.6850 1.7886
O -1.2765 -0.6494 2.8206
```

crystal system: monoclinic
D(E_F): 0.00 states/eV/cell
energy relative to the elements, uncorrected: -1.51 eV/atom
distance to the lowest polymorph of the same formula: 11 meV per atom



Compound: Rb3InO3
Source: the Alexandria database
Functional: SCAN
Structure: single point on PBEsol structure

```
14
Lattice="6.9330 -0.0020 -0.0032 -0.7110 6.9870 0.0183 -0.7110 -3.0236 6.2989" Properties=species:S:1:pos:R:3 pbc="T T T"
Rb 1.5495 2.5054 3.9934
Rb 2.7555 5.0373 1.2392
Rb 2.7555 -1.0760 5.0747
Rb -0.7110 -0.4469 4.6823
Rb -0.7110 4.4103 1.6349
Rb 3.9614 1.4559 2.3206
In 4.7490 3.2499 5.1800
In 0.7620 0.7115 1.1340
O -0.1421 3.5769 5.7012
O 4.0711 1.3248 5.2749
O 4.0711 4.1729 3.4880
O 1.4399 2.6366 1.0391
O 1.4399 -0.2116 2.8260
O 5.6531 0.3844 0.6128
```

crystal system: monoclinic
D(E_F): 0.00 states/eV/cell
energy relative to the elements, uncorrected: -1.52 eV/atom
distance to the lowest polymorph of the same formula: 0 meV per atom



Compound: RbInSiO2
Source: the Alexandria database
Functional: SCAN
Structure: single point on PBEsol structure

```
5
Lattice="4.0936 0.0000 0.0000 0.0000 4.0936 0.0000 0.0000 0.0000 4.8868" Properties=species:S:1:pos:R:3 pbc="T T T"
Si 0.0000 0.0000 0.0000
O 0.0000 2.0468 0.0000
O 2.0468 0.0000 0.0000
Rb 2.0468 2.0468 2.4434
In 0.0000 0.0000 2.4434
```

crystal system: tetragonal
D(E_F): 0.83 states/eV/cell
energy relative to the elements, uncorrected: -0.44 eV/atom



Compound: RbInTe3O8
Source: the Alexandria database
Functional: SCAN
Structure: single point on PBEsol structure

```
26
Lattice="-5.6423 -0.0786 -1.2619 -3.5693 -4.2474 5.1004 -1.9586 7.4494 7.9605" Properties=species:S:1:pos:R:3 pbc="T T T"
Rb -2.8543 5.6586 7.0905
Rb -8.3159 -2.5353 4.7085
In -4.6058 -2.1630 1.9192
In -2.7640 1.6010 6.5304
Te -9.0504 0.0504 8.7381
Te -2.1198 3.0729 3.0608
Te -9.3556 3.4431 8.9925
Te -1.8146 -0.3198 2.8064
Te -5.9220 2.5916 7.3822
Te -5.2482 0.5317 4.4168
O -8.2949 1.1502 7.3832
O -2.8752 1.9731 4.4158
O -9.1059 1.7495 9.9237
O -2.0643 1.3738 1.8753
O -5.2649 0.4021 9.6081
O -5.9053 2.7212 2.1908
O -8.5610 4.5049 10.3498
O -2.6092 -1.3816 1.4491
O -5.4954 3.6987 10.8594
O -5.6748 -0.5754 0.9396
O -6.7068 4.1991 8.0045
O -4.4634 -1.0758 3.7944
O -6.6442 2.7562 5.6090
O -4.5260 0.3671 6.1899
O -4.1850 3.2165 6.9490
O -6.9851 -0.0933 4.8499
```

crystal system: triclinic
D(E_F): 0.00 states/eV/cell
energy relative to the elements, uncorrected: -1.40 eV/atom



Compound: InReO3
Source: the Alexandria database
Functional: SCAN
Structure: single point on PBEsol structure

```
5
Lattice="-0.9101 1.7022 -3.5827 -2.9614 -2.7370 -0.5482 -2.6389 2.4845 1.8508" Properties=species:S:1:pos:R:3 pbc="T T T"
Re -3.2552 0.7248 -1.1401
O -1.4807 -1.3685 -0.2741
O -1.3194 1.2422 0.9254
O -0.4550 0.8511 -1.7914
In 0.0000 0.0000 0.0000
```

crystal system: cubic
D(E_F): 4.47 states/eV/cell
energy relative to the elements, uncorrected: 0.31 eV/atom



Compound: In2ReO2
Source: the Alexandria database
Functional: SCAN
Structure: single point on PBEsol structure

```
5
Lattice="3.5929 0.0000 0.0000 0.0000 3.5929 0.0000 -1.7965 -1.7965 5.8590" Properties=species:S:1:pos:R:3 pbc="T T T"
Re 0.0000 0.0000 0.0000
O 0.0000 1.7965 2.9295
O 1.7965 0.0000 2.9295
In 0.0000 0.0000 4.1215
In 1.7965 1.7965 1.7374
```

crystal system: tetragonal
D(E_F): 1.09 states/eV/cell
energy relative to the elements, uncorrected: -0.02 eV/atom



Compound: InRh2O
Source: the Alexandria database
Functional: SCAN
Structure: single point on PBEsol structure

```
4
Lattice="4.2971 0.0000 0.0000 2.1486 3.7214 0.0000 2.1486 1.2405 3.5086" Properties=species:S:1:pos:R:3 pbc="T T T"
Rh 2.1486 1.2405 0.8771
Rh 6.4457 3.7214 2.6314
O 0.0000 0.0000 0.0000
In 4.2971 2.4810 1.7543
```

crystal system: cubic
D(E_F): 2.82 states/eV/cell
energy relative to the elements, uncorrected: 0.36 eV/atom



Compound: TiIn2RhO
Source: the Alexandria database
Functional: SCAN
Structure: single point on PBEsol structure

```
5
Lattice="4.5388 0.0000 0.0000 0.0000 4.9806 0.0000 0.0000 0.0000 4.9806" Properties=species:S:1:pos:R:3 pbc="T T T"
Ti 2.2694 0.0000 0.0000
Rh 0.0000 0.0000 0.0000
O 2.2694 2.4903 2.4903
In 0.0000 0.0000 2.4903
In 0.0000 2.4903 0.0000
```

crystal system: tetragonal
D(E_F): 1.66 states/eV/cell
energy relative to the elements, uncorrected: 0.14 eV/atom



no.,volume (Å³/atom),magnetization (μB/f.u.)
1,22.16,0.14
2,21.82,0.13
3,16.38,0.00
4,17.22,0.00
5,13.48,4.14
6,15.13,2.90
7,14.03,2.58
8,22.52,1.10